1.
Computed, not measured: a geometry-optimized MgTaSeS2 structure at the PBE-GGA level of DFT.

Computed properties:
SG ... P4/mmm (123)

Cell lengths 4.608, 4.901, 4.608 Å; angles 90.00, 90.00, 90.00 degrees
Last column: magnetic moment on the atom in μB.
Element x y z (fractional)
Mg 0.000 0.000 0.000  0.00
S 0.500 0.000 0.000  -0.21
S 0.000 0.000 0.500  -0.21
Se 0.000 0.500 0.000  -0.17
Ta 0.500 0.500 0.500  1.42

2.
Computed, not measured: a geometry-optimized MgTcSeS2 structure at the PBE-GGA level of DFT.

Computed properties:
SG ... P4/mmm (123)

Cell lengths 4.912, 4.807, 4.912 Å; angles 90.00, 90.00, 90.00 degrees
Last column: magnetic moment on the atom in μB.
Element x y z (fractional)
Tc 0.500 0.500 0.500  3.43
Mg 0.000 0.500 0.000  -0.02
S 0.000 0.000 0.500  0.02
S 0.500 0.000 0.000  0.05
Se 0.000 0.000 0.000  0.00

3.
Computed, not measured: a geometry-optimized Tm2MgSeS3 structure at the PBE-GGA level of DFT.

Computed properties:
SG ... R-3m (166)

Cell lengths 7.929, 7.929, 7.929 Å; angles 59.64, 59.64, 59.64 degrees
Element x y z (fractional)
Se 0.749 0.749 0.749
Se 0.251 0.251 0.251
S 0.244 0.244 0.772
S 0.244 0.772 0.244
S 0.228 0.756 0.756
S 0.756 0.756 0.228
S 0.772 0.244 0.244
S 0.756 0.228 0.756
Mg 0.615 0.615 0.615
Mg 0.385 0.385 0.385
Tm 0.500 0.000 0.000
Tm 0.000 0.000 0.000
Tm 0.000 0.000 0.500
Tm 0.000 0.500 0.000

For the records above, the corresponding uncorrected formation energy values read 2.7, 4.8, -12.9 eV/f.u..